# CsSn3Bi (GGA-PBE, optimized geometry)
data_CsSn3Bi
_chemical_formula_sum 'Cs2 Sn6 Bi2'
_space_group_name_H-M_alt 'C 1 m 1'
_space_group_IT_number 8
_cell_length_a 7.512
_cell_length_b 7.510
_cell_length_c 7.733
_cell_angle_alpha 90.00
_cell_angle_beta 118.67
_cell_angle_gamma 90.00
loop_
_space_group_symop_operation_xyz
'x,y,z'
'x,-y,z'
'x+1/2,y+1/2,z'
'x+1/2,-y+1/2,z'
loop_
_atom_site_label
_atom_site_fract_x
_atom_site_fract_y
_atom_site_fract_z
Cs1 0.000 0.000 0.000
Sn1 0.135 0.500 0.267
Sn2 0.499 0.250 0.496
Bi1 0.372 0.000 0.745
# calculated density	6.1	Mg/m³
# E	-35.2	eV per cell
# total magnetization	0.00	μB/cell
# volume	38.28	Å³/atom